[1]
The following is a PBE-GGA calculation of a relaxed KY2Sc crystal, from Alexandria.

```
KY2Sc
1.0
3.5745 0.0000 0.0000
0.0000 3.5745 0.0000
0.0000 0.0000 11.2875
Sc Y K
1 2 1
direct
0.5000 0.5000 0.7964
0.0000 0.0000 0.9902
0.5000 0.5000 0.2038
0.0000 0.0000 0.5096
```

Properties
- DOS at the Fermi energy (states/eV/f.u.) = 3.453
- energy of formation from the pure elements (eV/atom) = 0.29
- space group = P4mm
- energy above the most stable polymorph in this dataset (eV per atom) = 0.054

[2]
The following is a PBE-GGA calculation of a relaxed Y4P crystal, from Alexandria.

```
Y4P
1.0
-2.0827 -2.1974 5.7610
-0.6385 4.3528 -4.7959
-2.6743 -4.8708 -3.3880
P Y
1 4
direct
0.0000 0.0000 0.0000
0.7571 0.4283 0.1853
0.5717 0.7571 0.3288
0.4283 0.2429 0.6712
0.2429 0.5717 0.8147
```

Properties
- DOS at the Fermi energy (states/eV/f.u.) = 6.474
- energy of formation from the pure elements (eV/atom) = -0.46
- space group = I4/m
- energy above the most stable polymorph in this dataset (eV per atom) = 0.000

[3]
The following is a PBE-GGA calculation of a relaxed Sr3ZnSn6Pd2 crystal, from Alexandria.

```
Sr3ZnSn6Pd2
1.0
-4.0909 -3.2563 -3.5812
5.9573 -2.0550 0.6709
-2.7676 -5.3906 8.0630
Sr Sn Pd Zn
3 6 2 1
direct
0.0000 0.0000 0.0000
0.6667 0.3333 0.4147
0.3333 0.6667 0.5853
0.8314 0.6628 0.7231
0.8314 0.1686 0.7231
0.1686 0.3372 0.2769
0.1686 0.8314 0.2769
0.6628 0.8314 0.2769
0.3372 0.1686 0.7231
0.3333 0.6667 0.0728
0.6667 0.3333 0.9272
0.0000 0.0000 0.5000
```

Properties
- DOS at the Fermi energy (states/eV/f.u.) = 10.409
- energy of formation from the pure elements (eV/atom) = -0.23
- space group = P-3m1

[4]
The following is a PBE-GGA calculation of a relaxed Ac2HoCuSe5 crystal, from Alexandria.

```
Ac2HoCuSe5
1.0
4.2233 0.0000 0.0000
-2.1116 9.0450 0.0000
0.0000 0.0000 12.5229
Se Ac Ho Cu
10 4 2 2
direct
0.0430 0.0861 0.0516
0.5000 0.0001 0.2791
0.6476 0.2952 0.5042
0.3524 0.7048 0.0042
0.3093 0.6186 0.3554
0.5000 0.9999 0.7791
0.7091 0.4183 0.1680
0.9570 0.9139 0.5516
0.6907 0.3814 0.8554
0.2909 0.5817 0.6680
0.1232 0.2463 0.3140
0.8768 0.7537 0.8140
0.8883 0.7767 0.1886
0.1117 0.2233 0.6886
0.1918 0.3837 0.0117
0.8082 0.6163 0.5117
0.4359 0.8718 0.4513
0.5641 0.1282 0.9513
```

Properties
- raw formation energy (eV/atom) = -1.70
- space group = Cmc2_1

[5]
The following is a PBE-GGA calculation of a relaxed AsOsAu crystal, from Alexandria.

```
AsOsAu
1.0
-2.0920 -3.4444 -1.5030
1.8019 -3.8963 0.2669
-1.5818 -2.9182 2.7352
Au As Os
1 1 1
direct
0.5000 0.5000 0.5000
0.0000 0.0000 0.0000
0.7500 0.7500 0.7500
```

Properties
- DOS at the Fermi energy (states/eV/f.u.) = 1.861
- energy of formation from the pure elements (eV/atom) = 0.50
- space group = F-43m
- energy above the most stable polymorph in this dataset (eV per atom) = 0.173

[6]
The following is a PBE-GGA calculation of a relaxed YRe crystal, from Alexandria.

```
YRe
1.0
4.9834 0.0196 0.0122
3.9528 3.0347 0.0122
3.9528 1.3510 2.7174
Y Re
1 1
direct
0.5000 0.5000 0.5000
0.0000 0.0000 0.0000
```

Properties
- DOS at the Fermi energy (states/eV/f.u.) = 2.917
- energy of formation from the pure elements (eV/atom) = 0.72
- space group = R-3m

[7]
The following is a PBE-GGA calculation of a relaxed Eu3Y crystal, from Alexandria.

```
Eu3Y
1.0
5.3643 0.0000 0.0000
0.0000 5.3643 0.0000
0.0000 0.0000 5.3643
Eu Y
3 1
direct
0.5000 0.5000 0.0000
0.0000 0.5000 0.5000
0.5000 0.0000 0.5000
0.0000 0.0000 0.0000
```

Properties
- DOS at the Fermi energy (states/eV/f.u.) = 4.649
- energy of formation from the pure elements (eV/atom) = 0.09
- space group = Pm-3m
- energy above the most stable polymorph in this dataset (eV per atom) = 0.012

[8]
The following is a PBE-GGA calculation of a relaxed HfCoH crystal, from Alexandria.

```
HfCoH
1.0
3.2137 0.0000 0.0000
0.0000 3.2137 0.0000
-1.6069 -1.6069 7.2567
H Co Hf
2 2 2
direct
0.9083 0.9083 0.8165
0.0917 0.0917 0.1835
0.2010 0.2010 0.4019
0.7990 0.7990 0.5981
0.3848 0.3848 0.7697
0.6152 0.6152 0.2303
```

Properties
- DOS at the Fermi energy (states/eV/f.u.) = 2.904
- space group = I4/mmm
- energy above the most stable polymorph in this dataset (eV per atom) = 0.198